First-principles (GGA-PBE) data for crystalline SrCrI2 at its relaxed geometry, as listed in Alexandria.

Values from the calculation:
Final energy   -3.99 eV per atom
Spin magnetization   23.89 μB per cell

CIF file:
```
data_SrCrI2
_cell_length_a 8.115
_cell_length_b 8.115
_cell_length_c 8.115
_cell_angle_alpha 90.00
_cell_angle_beta 90.00
_cell_angle_gamma 90.00
_space_group_name_H-M_alt 'F m -3 m'
_space_group_IT_number 225
_space_group_name_Hall '-F 4 2 3'
loop_
_atom_site_label
_atom_site_fract_x
_atom_site_fract_y
_atom_site_fract_z
_atom_site_occupancy
Sr1 0.000 0.000 0.000 1
Cr1 0.000 0.000 0.500 1
I1 0.250 0.250 0.250 1
```

=====

First-principles (GGA-PBE) data for crystalline Mg6CuPd2 at its relaxed geometry, as listed in Alexandria.

Values from the calculation:
Final energy   -3.03 eV per atom
Formation energy   -3.2 eV per formula unit
Spin magnetization   0.00 μB per cell

CIF file:
```
data_Mg6CuPd2
_cell_length_a 4.6320
_cell_length_b 4.6320
_cell_length_c 8.6100
_cell_angle_alpha 90.00
_cell_angle_beta 90.00
_cell_angle_gamma 120.00
_space_group_name_H-M_alt 'P -3 m 1'
_space_group_IT_number 164
_space_group_name_Hall '-P 3 2"'
loop_
_atom_site_label
_atom_site_fract_x
_atom_site_fract_y
_atom_site_fract_z
_atom_site_occupancy
Mg1 0.0000 0.0000 0.2000 1
Mg2 0.3333 0.6667 0.0621 1
Mg3 0.3333 0.6667 0.4105 1
Cu1 0.0000 0.0000 0.5000 1
Pd1 0.3333 0.6667 0.7411 1
```

=====

First-principles (GGA-PBE) data for crystalline MgSc5Sb6 at its relaxed geometry, as listed in Alexandria.

Values from the calculation:
Final energy   -5.62 eV per atom
Spin magnetization   0.00 μB per cell

CIF file:
```
data_MgSc5Sb6
_cell_length_a 7.238
_cell_length_b 12.524
_cell_length_c 7.250
_cell_angle_alpha 90.00
_cell_angle_beta 109.46
_cell_angle_gamma 90.00
_space_group_name_H-M_alt 'C 1 2/m 1'
_space_group_IT_number 12
loop_
_space_group_symop_operation_xyz
'x,y,z'
'-x,-y,-z'
'-x,y,-z'
'x,-y,z'
'x+1/2,y+1/2,z'
'-x+1/2,-y+1/2,-z'
'-x+1/2,y+1/2,-z'
'x+1/2,-y+1/2,z'
loop_
_atom_site_label
_atom_site_fract_x
_atom_site_fract_y
_atom_site_fract_z
_atom_site_occupancy
Mg1 0.000 0.000 0.000 1
Sc1 0.000 0.166 0.500 1
Sc2 0.000 0.333 0.000 1
Sc3 0.000 0.500 0.500 1
Sb1 0.247 0.500 0.251 1
Sb2 0.248 0.332 0.749 1
```

=====

First-principles (GGA-PBE) data for crystalline Ac8Ir3OsI3 at its relaxed geometry, as listed in Alexandria.

Values from the calculation:
Final energy   -5.85 eV per atom
Spin magnetization   0.00 μB per cell

CIF file:
```
data_Ac8Ir3OsI3
_cell_length_a 8.782
_cell_length_b 8.786
_cell_length_c 10.047
_cell_angle_alpha 64.16
_cell_angle_beta 64.13
_cell_angle_gamma 60.03
_space_group_name_H-M_alt 'P -1'
_space_group_IT_number 2
loop_
_space_group_symop_operation_xyz
'x,y,z'
'-x,-y,-z'
loop_
_atom_site_label
_atom_site_fract_x
_atom_site_fract_y
_atom_site_fract_z
_atom_site_occupancy
Ac1 0.224 0.231 0.320 1
Ac2 0.225 0.723 0.320 1
Ac3 0.268 0.277 0.680 1
Ac4 0.272 0.774 0.681 1
Ir1 0.000 0.000 0.500 1
Ir2 0.500 0.000 0.500 1
Ir3 0.500 0.500 0.500 1
Os1 0.000 0.500 0.500 1
I1 0.000 0.000 0.000 1
I2 0.000 0.500 0.000 1
I3 0.500 0.500 0.000 1
```

=====

First-principles (GGA-PBE) data for crystalline Ba8AlTl2 at its relaxed geometry, as listed in Alexandria.

Values from the calculation:
Final energy   -2.35 eV per atom
Formation energy   -2.0 eV per formula unit
Spin magnetization   0.01 μB per cell

CIF file:
```
data_Ba8AlTl2
_cell_length_a 21.236
_cell_length_b 6.114
_cell_length_c 8.409
_cell_angle_alpha 90.00
_cell_angle_beta 108.91
_cell_angle_gamma 90.00
_space_group_name_H-M_alt 'C 1 2/m 1'
_space_group_IT_number 12
loop_
_space_group_symop_operation_xyz
'x,y,z'
'-x,-y,-z'
'-x,y,-z'
'x,-y,z'
'x+1/2,y+1/2,z'
'-x+1/2,-y+1/2,-z'
'-x+1/2,y+1/2,-z'
'x+1/2,-y+1/2,z'
loop_
_atom_site_label
_atom_site_fract_x
_atom_site_fract_y
_atom_site_fract_z
_atom_site_occupancy
Ba1 0.029 0.000 0.295 1
Ba2 0.096 0.500 0.938 1
Ba3 0.163 0.500 0.456 1
Ba4 0.201 0.000 0.802 1
Al1 0.000 0.500 0.500 1
Tl1 0.184 0.000 0.201 1
```

=====

First-principles (GGA-PBE) data for crystalline BaCu2HgF8 at its relaxed geometry, as listed in Alexandria.

Values from the calculation:
Final energy   -4.15 eV per atom
Spin magnetization   0.07 μB per cell

CIF file:
```
data_BaCu2HgF8
_cell_length_a 5.800
_cell_length_b 5.800
_cell_length_c 10.855
_cell_angle_alpha 90.00
_cell_angle_beta 90.00
_cell_angle_gamma 90.00
_space_group_name_H-M_alt 'I -4'
_space_group_IT_number 82
loop_
_space_group_symop_operation_xyz
'x,y,z'
'y,-x,-z'
'-x,-y,z'
'-y,x,-z'
'x+1/2,y+1/2,z+1/2'
'y+1/2,-x+1/2,-z+1/2'
'-x+1/2,-y+1/2,z+1/2'
'-y+1/2,x+1/2,-z+1/2'
loop_
_atom_site_label
_atom_site_fract_x
_atom_site_fract_y
_atom_site_fract_z
_atom_site_occupancy
Ba1 0.000 0.000 0.000 1
Cu1 0.000 0.000 0.500 1
Cu2 0.000 0.500 0.250 1
Hg1 0.000 0.500 0.750 1
F1 0.104 0.296 0.552 1
F2 0.155 0.780 0.207 1
```

=====

First-principles (GGA-PBE) data for crystalline Fe2NiGeN at its relaxed geometry, as listed in Alexandria.

Values from the calculation:
Final energy   -7.17 eV per atom
Spin magnetization   4.66 μB per cell

CIF file:
```
data_Fe2NiGeN
_cell_length_a 3.835
_cell_length_b 3.835
_cell_length_c 3.831
_cell_angle_alpha 90.00
_cell_angle_beta 90.00
_cell_angle_gamma 90.00
_space_group_name_H-M_alt 'P 4/m m m'
_space_group_IT_number 123
_space_group_name_Hall '-P 4 2'
loop_
_atom_site_label
_atom_site_fract_x
_atom_site_fract_y
_atom_site_fract_z
_atom_site_occupancy
Fe1 0.000 0.500 0.000 1
Ni1 0.000 0.000 0.500 1
Ge1 0.500 0.500 0.500 1
N1 0.000 0.000 0.000 1
```

=====

First-principles (GGA-PBE) data for crystalline PrIn4Pd2 at its relaxed geometry, as listed in Alexandria.

Values from the calculation:
Final energy   -4.20 eV per atom
Formation energy   -3.3 eV per formula unit
Spin magnetization   0.00 μB per cell

CIF file:
```
data_PrIn4Pd2
_cell_length_a 9.001
_cell_length_b 9.001
_cell_length_c 3.989
_cell_angle_alpha 90.00
_cell_angle_beta 90.00
_cell_angle_gamma 90.00
_space_group_name_H-M_alt 'P 42/m n m'
_space_group_IT_number 136
_space_group_name_Hall '-P 4n 2n'
loop_
_atom_site_label
_atom_site_fract_x
_atom_site_fract_y
_atom_site_fract_z
_atom_site_occupancy
Pr1 0.000 0.000 0.000 1
In1 0.081 0.319 0.500 1
Pd1 0.198 0.802 0.500 1
```

=====

First-principles (GGA-PBE) data for crystalline Sm2DyEr3S6 at its relaxed geometry, as listed in Alexandria.

Values from the calculation:
Final energy   -6.36 eV per atom
Spin magnetization   0.00 μB per cell

CIF file:
```
data_Sm2DyEr3S6
_cell_length_a 17.103
_cell_length_b 3.900
_cell_length_c 7.894
_cell_angle_alpha 90.00
_cell_angle_beta 103.90
_cell_angle_gamma 90.00
_space_group_name_H-M_alt 'C 1 2/m 1'
_space_group_IT_number 12
loop_
_space_group_symop_operation_xyz
'x,y,z'
'-x,-y,-z'
'-x,y,-z'
'x,-y,z'
'x+1/2,y+1/2,z'
'-x+1/2,-y+1/2,-z'
'-x+1/2,y+1/2,-z'
'x+1/2,-y+1/2,z'
loop_
_atom_site_label
_atom_site_fract_x
_atom_site_fract_y
_atom_site_fract_z
_atom_site_occupancy
Sm1 0.167 0.000 0.335 1
Dy1 0.000 0.500 0.000 1
Er1 0.000 0.500 0.500 1
Er2 0.168 0.000 0.833 1
S1 0.003 0.000 0.749 1
S2 0.163 0.500 0.591 1
S3 0.167 0.500 0.074 1
```

=====

First-principles (GGA-PBE) data for crystalline Ga2SiCl at its relaxed geometry, as listed in Alexandria.

Values from the calculation:
Final energy   -3.33 eV per atom
Spin magnetization   0.00 μB per cell

CIF file:
```
data_Ga2SiCl
_cell_length_a 5.902
_cell_length_b 5.902
_cell_length_c 12.129
_cell_angle_alpha 90.00
_cell_angle_beta 90.00
_cell_angle_gamma 90.00
_space_group_name_H-M_alt 'I -4 2 d'
_space_group_IT_number 122
_space_group_name_Hall 'I -4 2bw'
loop_
_atom_site_label
_atom_site_fract_x
_atom_site_fract_y
_atom_site_fract_z
_atom_site_occupancy
Ga1 0.205 0.250 0.125 1
Si1 0.000 0.000 0.000 1
Cl1 0.000 0.000 0.500 1
```